A PBEsol-optimized structure of InNi22B6, computed with SCAN.

Structure (POSCAR):
```
InNi22B6
1.0
0.000 5.193 5.193
5.193 0.000 5.193
5.193 5.193 0.000
In Ni B
1 22 6
direct
0.000 0.000 0.000 In
0.000 0.000 0.344 Ni
0.000 0.000 0.656 Ni
0.000 0.344 0.000 Ni
0.000 0.344 0.656 Ni
0.000 0.656 0.000 Ni
0.000 0.656 0.344 Ni
0.144 0.619 0.619 Ni
0.250 0.250 0.250 Ni
0.344 0.000 0.000 Ni
0.344 0.000 0.656 Ni
0.344 0.656 0.000 Ni
0.381 0.381 0.381 Ni
0.381 0.381 0.856 Ni
0.381 0.856 0.381 Ni
0.619 0.144 0.619 Ni
0.619 0.619 0.144 Ni
0.619 0.619 0.619 Ni
0.656 0.000 0.000 Ni
0.656 0.000 0.344 Ni
0.656 0.344 0.000 Ni
0.750 0.750 0.750 Ni
0.856 0.381 0.381 Ni
0.276 0.276 0.724 B
0.276 0.724 0.276 B
0.276 0.724 0.724 B
0.724 0.276 0.276 B
0.724 0.276 0.724 B
0.724 0.724 0.276 B
```

Space-group type = Fm-3m
Total energy = -15.099 eV per atom
Energy above the most stable polymorph in this dataset = 66 meV per atom
ΔH_f (0 K) = -0.141 eV/atom